# 1
VASP calculation (GGA-PBE) on HfNi2Au after structural relaxation.

Cell and atoms, written as extended XYZ:
```
4
Lattice="-0.930 -3.267 2.759 -4.093 -0.541 1.450 -2.374 -3.412 -1.369" Properties=species:S:1:pos:R:3 pbc="T T T"
Au -3.699 -3.609 1.420
Ni -1.849 -1.805 0.710
Ni -5.548 -5.414 2.130
Hf 0.000 0.000 0.000
```

Values from the calculation:
DOS at the Fermi energy in states/eV/atom: 0.80
M_tot in μB per cell: 0.00
Formation energy in eV/atom: -0.3977
SG: Fm-3m, No. 225

---

# 2
VASP calculation (GGA-PBE) on GdGe2Os after structural relaxation.

Cell and atoms, written as extended XYZ:
```
4
Lattice="-0.261 -2.516 3.384 0.702 -4.148 -0.393 4.931 -1.498 1.904" Properties=species:S:1:pos:R:3 pbc="T T T"
Os 2.686 -4.081 2.448
Gd 0.000 0.000 0.000
Ge 3.607 -6.185 3.591
Ge 1.765 -1.977 1.304
```

Values from the calculation:
DOS at the Fermi energy in states/eV/atom: 0.61
M_tot in μB per cell: 6.89
Formation energy in eV/atom: -0.4541
SG: R-3m, No. 166

---

# 3
VASP calculation (GGA-PBE) on Te2PtPb after structural relaxation.

Cell and atoms, written as extended XYZ:
```
4
Lattice="3.596 0.000 0.000 0.000 3.596 0.000 0.000 0.000 7.859" Properties=species:S:1:pos:R:3 pbc="T T T"
Te 0.000 0.000 7.470
Te 0.000 0.000 4.319
Pb 1.798 1.798 1.965
Pt 1.798 1.798 5.894
```

Values from the calculation:
DOS at the Fermi energy in states/eV/atom: 0.77
E_form (uncorrected) in kJ/mol of formula units: 51.7
M_tot in μB per cell: 0.00
SG: P4/mmm, No. 123

---

# 4
VASP calculation (GGA-PBE) on Tm4Te2AuSe after structural relaxation.

Cell and atoms, written as extended XYZ:
```
8
Lattice="4.081 0.000 0.000 0.000 7.409 -0.232 0.000 2.530 6.956" Properties=species:S:1:pos:R:3 pbc="T T T"
Te 2.040 1.265 3.478
Te 0.000 2.530 6.956
Tm 4.081 2.671 1.655
Tm 2.040 3.926 5.027
Tm 2.040 6.013 1.696
Tm 0.000 7.268 5.069
Au 0.000 4.969 3.362
Se 2.040 3.705 -0.116
```

Values from the calculation:
DOS at the Fermi energy in states/eV/atom: 0.55
E_form (uncorrected) in kJ/mol of formula units: -963.9
M_tot in μB per cell: 0.00
SG: P2/m, No. 10

---

# 5
VASP calculation (GGA-PBE) on HfAl2Cr2 after structural relaxation.

Cell and atoms, written as extended XYZ:
```
10
Lattice="7.201 0.000 0.000 0.000 7.201 0.000 0.000 0.000 2.998" Properties=species:S:1:pos:R:3 pbc="T T T"
Al 0.899 2.701 0.000
Al 6.302 4.500 0.000
Al 4.500 0.899 0.000
Al 2.701 6.302 0.000
Cr 5.956 2.356 1.499
Cr 2.356 1.245 1.499
Cr 4.845 5.956 1.499
Cr 1.245 4.845 1.499
Hf 3.601 3.601 0.000
Hf 0.000 0.000 0.000
```

Values from the calculation:
DOS at the Fermi energy in states/eV/atom: 0.87
Distance to the lowest polymorph of the same formula in meV per atom: 0.0
M_tot in μB per cell: 6.10
Formation energy in eV/atom: -0.0169
SG: P4/mbm, No. 127

---

# 6
VASP calculation (GGA-PBE) on Sm6Ir2RhI3 after structural relaxation.

Cell and atoms, written as extended XYZ:
```
12
Lattice="7.214 -0.002 0.000 -3.607 6.248 0.000 -1.203 -2.082 8.041" Properties=species:S:1:pos:R:3 pbc="T T T"
Rh 0.000 0.000 0.000
Ir 3.607 2.081 0.000
Ir 0.000 4.164 0.000
I 1.202 2.081 4.021
I 4.807 -0.001 4.021
I -2.403 4.164 4.021
Sm 2.412 -0.001 1.472
Sm -1.206 2.088 1.472
Sm -0.007 4.164 6.570
Sm 3.610 2.075 6.570
Sm 2.401 4.158 1.473
Sm 0.003 0.005 6.569
```

Values from the calculation:
DOS at the Fermi energy in states/eV/atom: 0.22
E_form (uncorrected) in kJ/mol of formula units: -1117.4
M_tot in μB per cell: 0.00
SG: C2/m, No. 12

---

# 7
VASP calculation (GGA-PBE) on SrGa2As2 after structural relaxation.

Cell and atoms, written as extended XYZ:
```
10
Lattice="7.919 0.000 0.000 0.000 7.919 0.000 0.000 0.000 3.924" Properties=species:S:1:pos:R:3 pbc="T T T"
Ga 6.745 2.786 1.962
Ga 5.132 6.745 1.962
Ga 2.786 1.173 1.962
Ga 1.173 5.132 1.962
As 0.895 3.065 0.000
As 4.854 0.895 0.000
As 3.065 7.024 0.000
As 7.024 4.854 0.000
Sr 3.959 3.959 0.000
Sr 0.000 0.000 0.000
```

Values from the calculation:
DOS at the Fermi energy in states/eV/atom: 0.26
M_tot in μB per cell: 0.00
Formation energy in eV/atom: -0.2742
SG: P4/mbm, No. 127

---

# 8
VASP calculation (GGA-PBE) on Nd3NpPd12 after structural relaxation.

Cell and atoms, written as extended XYZ:
```
16
Lattice="4.185 0.000 0.000 0.000 4.185 0.000 0.000 0.000 16.729" Properties=species:S:1:pos:R:3 pbc="T T T"
Pd 2.092 2.092 12.601
Pd 2.092 0.000 1.984
Pd 0.000 2.092 6.250
Pd 0.000 2.092 10.480
Pd 2.092 0.000 14.745
Pd 2.092 0.000 10.480
Pd 2.092 0.000 6.250
Pd 2.092 2.092 8.365
Pd 2.092 2.092 4.128
Pd 2.092 2.092 0.000
Pd 0.000 2.092 1.984
Pd 0.000 2.092 14.745
Nd 0.000 0.000 12.547
Nd 0.000 0.000 4.182
Nd 0.000 0.000 8.365
Np 0.000 0.000 0.000
```

Values from the calculation:
DOS at the Fermi energy in states/eV/atom: 1.02
M_tot in μB per cell: 2.84
Formation energy in eV/atom: -0.6972
SG: P4/mmm, No. 123

---

What is the DOS at the Fermi energy in the second record? 0.61 states/eV/atom

---

Which of these has the highest M_tot? GdGe2Os

---

What did the third record say?
VASP calculation (GGA-PBE) on Te2PtPb after structural relaxation.

Cell and atoms, written as extended XYZ:
```
4
Lattice="3.596 0.000 0.000 0.000 3.596 0.000 0.000 0.000 7.859" Properties=species:S:1:pos:R:3 pbc="T T T"
Te 0.000 0.000 7.470
Te 0.000 0.000 4.319
Pb 1.798 1.798 1.965
Pt 1.798 1.798 5.894
```

Values from the calculation:
DOS at the Fermi energy in states/eV/atom: 0.77
E_form (uncorrected) in kJ/mol of formula units: 51.7
M_tot in μB per cell: 0.00
SG: P4/mmm, No. 123

---

What is the DOS at the Fermi energy in the seventh record? 0.26 states/eV/atom